An optimized crystal structure of LiSn3Pb2Se6, computed with PBE.

Geometry as POSCAR:
```
LiSn3Pb2Se6
1.0
-1.3399 1.5736 3.6790
4.7012 -5.7780 4.1834
6.4239 6.4246 -2.8284
Sn Se Pb Li
3 6 2 1
Direct
0.5000 0.5000 0.0000
0.8364 0.1635 0.6729
0.1636 0.8365 0.3271
0.3386 0.9274 0.6772
0.3343 0.4113 0.6685
0.9956 0.2431 0.9912
0.6614 0.0726 0.3228
0.0044 0.7569 0.0088
0.6657 0.5887 0.3315
0.8384 0.6738 0.6769
0.1616 0.3262 0.3231
0.5000 0.0000 0.0000
```

Values from the calculation:
Crystal system: monoclinic
Final energy, eV per cell: -48.8
E_form (uncorrected), eV/f.u.: -6.51
Calculated volume, Å³/f.u.: 325.00

=====

An optimized crystal structure of BaSc, computed with PBE.

Geometry as POSCAR:
```
BaSc
1.0
13.2952 0.0000 0.0000
0.0000 13.2952 0.0000
0.0000 0.0000 3.7119
Ba Sc
8 8
Direct
0.6738 0.3792 0.5000
0.3262 0.6208 0.5000
0.3792 0.3262 0.5000
0.8262 0.1208 0.0000
0.6208 0.6738 0.5000
0.1738 0.8792 0.0000
0.8792 0.8262 0.0000
0.1208 0.1738 0.0000
0.9315 0.3868 0.0000
0.8868 0.5685 0.5000
0.4315 0.8868 0.5000
0.1132 0.4315 0.5000
0.3868 0.0685 0.0000
0.0685 0.6132 0.0000
0.6132 0.9315 0.0000
0.5685 0.1132 0.5000
```

Values from the calculation:
Crystal system: tetragonal
Final energy, eV per cell: -60.9
E above lowest polymorph, meV per atom: 86
Calculated volume, Å³/f.u.: 82.02

=====

An optimized crystal structure of PmPuTh, computed with PBE.

Geometry as POSCAR:
```
PmPuTh
1.0
-2.2881 -1.9229 -1.3796
4.0069 -3.8925 -1.2199
-2.7991 -0.2424 4.9801
Pm Th Pu
1 1 1
Direct
0.1663 0.0000 0.0000
0.1671 0.3333 0.6667
0.6666 0.6667 0.3333
```

Values from the calculation:
Crystal system: hexagonal
Final energy, eV per cell: -25.7
E above lowest polymorph, meV per atom: 157
Calculated volume, Å³/f.u.: 93.21

=====

An optimized crystal structure of Ce3PrDy2Se6, computed with PBE.

Geometry as POSCAR:
```
Ce3PrDy2Se6
1.0
7.2079 -0.0030 -0.0008
-3.6048 6.2417 -0.0008
-1.2026 -2.0822 6.8532
Ce Pr Se Dy
3 1 6 2
Direct
0.1619 0.8381 0.5000
0.5000 0.5000 0.5000
0.8381 0.1619 0.5000
0.0000 0.0000 0.0000
0.4250 0.0818 0.2450
0.2636 0.2636 0.7600
0.9182 0.5750 0.7550
0.7364 0.7364 0.2400
0.0818 0.4250 0.2450
0.5750 0.9182 0.7550
0.6673 0.3327 0.0000
0.3327 0.6673 0.0000
```

Values from the calculation:
Crystal system: monoclinic
Final energy, eV per cell: -74.4
E_form (uncorrected), eV/f.u.: -21.69
Calculated volume, Å³/f.u.: 308.22

=====

An optimized crystal structure of Al2Cd2Au, computed with PBE.

Geometry as POSCAR:
```
Al2Cd2Au
1.0
-3.8009 0.6009 -1.1108
-1.0584 -3.4374 1.7622
-3.5697 1.8348 5.9867
Au Cd Al
1 2 2
Direct
0.0000 0.0000 0.0000
0.7500 0.2500 0.5000
0.2500 0.7500 0.5000
0.4064 0.4064 0.1872
0.5936 0.5936 0.8128
```

Values from the calculation:
Crystal system: tetragonal
Final energy, eV per cell: -11.4
E above lowest polymorph, meV per atom: 261
Calculated volume, Å³/f.u.: 106.32

=====

An optimized crystal structure of CaCd2Cl, computed with PBE.

Geometry as POSCAR:
```
CaCd2Cl
1.0
3.7551 0.2435 0.0000
-0.2390 3.7554 0.0000
0.0000 0.0000 7.6819
Cd Ca Cl
2 1 1
Direct
0.0000 0.0000 0.4912
0.0000 0.0000 0.0088
0.5000 0.5000 0.7500
0.5000 0.5000 0.2500
```

Values from the calculation:
Crystal system: tetragonal
Final energy, eV per cell: -7.5
E above lowest polymorph, meV per atom: 338
E_form (uncorrected), eV/f.u.: -1.81
Calculated volume, Å³/f.u.: 108.78